## 1
Material: Ac2GaCl
Method: DFT, GGA-PBE
State: relaxed

The space group is R3m (No. 160, hexagonal axes) and the conventional cell measures 4.5208, 4.5208 and 23.5168 Å, with angles of 90.00, 90.00 and 120.00 degrees. The asymmetric unit holds Ac at (0.0000, 0.0000, 0.0000), Ac at (0.0000, 0.0000, 0.1855), Ga at (0.0000, 0.0000, 0.5929) and Cl at (0.0000, 0.0000, 0.4201).

As for the crystal system: trigonal. As for the total magnetic moment: 0.00 μB/cell. The value obtained for the volume is 138.7 Å³/f.u.

---

## 2
Material: Ac2GaCl
Method: DFT, GGA-PBE
State: relaxed

The space group is Pmna (No. 53) and the conventional cell measures 6.3378, 6.3367 and 12.9926 Å, with angles of 90.00, 90.00 and 90.00 degrees. The asymmetric unit holds Ac at (0.0000, 0.2490, 0.1206), Ac at (0.0000, 0.2510, 0.6294), Ga at (0.0000, 0.2509, 0.8750) and Cl at (0.0000, 0.2490, 0.3750).

As for the crystal system: orthorhombic. As for the total magnetic moment: 0.00 μB/cell. The value obtained for the volume is 130.4 Å³/f.u.

---

## 3
Material: Ac2GaCl
Method: DFT, GGA-PBE
State: relaxed

The space group is R-3m (No. 166, hexagonal axes) and the conventional cell measures 4.6652, 4.6652 and 20.9787 Å, with angles of 90.00, 90.00 and 120.00 degrees. The asymmetric unit holds Ac at (0.0000, 0.0000, 0.2470), Ga at (0.0000, 0.0000, 0.5000) and Cl at (0.0000, 0.0000, 0.0000).

As for the crystal system: trigonal. As for the total magnetic moment: 0.00 μB/cell. The value obtained for the volume is 131.8 Å³/f.u.

---

Of them, 1 has the lowest stability.

---

## 1
Material: Ac2GeCl2
Method: DFT, GGA-PBE
State: relaxed

The space group is P-3m1 (No. 164) and the conventional cell measures 4.6742, 4.6742 and 8.6102 Å, with angles of 90.00, 90.00 and 120.00 degrees. The asymmetric unit holds Ac at (0.3333, 0.6667, 0.2974), Ge at (0.0000, 0.0000, 0.5000) and Cl at (0.3333, 0.6667, 0.8733).

As for the crystal system: trigonal. As for the total magnetic moment: 0.00 μB/cell. The value obtained for the volume is 162.9 Å³/f.u.

---

## 2
Material: Ac2GeCl2
Method: DFT, GGA-PBE
State: relaxed

The space group is C2/c (No. 15) and the conventional cell measures 10.0341, 12.3516 and 6.6510 Å, with angles of 90.00, 122.75 and 90.00 degrees. The asymmetric unit holds Ac at (0.0000, 0.1213, 0.2500), Ac at (0.0000, 0.3678, 0.7500), Ge at (0.0000, 0.1290, 0.7500) and Cl at (0.1563, 0.3910, 0.4891).

As for the crystal system: monoclinic. As for the total magnetic moment: 0.00 μB/cell. The value obtained for the volume is 173.3 Å³/f.u.

---

Of them, 2 has the lowest stability.

---

## 1
Material: Ac3GeCl3
Method: DFT, GGA-PBE
State: relaxed

The space group is I4_132 (No. 214) and the conventional cell measures 12.5296, 12.5296 and 12.5296 Å, with angles of 90.00, 90.00 and 90.00 degrees. The asymmetric unit holds Ac at (0.1190, 0.3690, 0.1250), Ge at (0.1250, 0.1250, 0.1250) and Cl at (0.1230, 0.3750, 0.3730).

As for the crystal system: cubic. As for the total magnetic moment: 0.00 μB/cell. The value obtained for the volume is 245.9 Å³/f.u.

---

## 2
Material: Ac3GeCl3
Method: DFT, GGA-PBE
State: relaxed

The space group is Pm-3m (No. 221) and the conventional cell measures 6.2104, 6.2104 and 6.2104 Å, with angles of 90.00, 90.00 and 90.00 degrees. The asymmetric unit holds Ac at (0.0000, 0.0000, 0.5000), Ge at (0.0000, 0.0000, 0.0000) and Cl at (0.0000, 0.5000, 0.5000).

As for the crystal system: cubic. As for the total magnetic moment: 0.00 μB/cell. The value obtained for the volume is 239.5 Å³/f.u.

---

Of them, 2 has the lowest stability.

---

## 1
Material: Ac5Ge4Cl
Method: DFT, GGA-PBE
State: relaxed

The space group is I4/m (No. 87) and the conventional cell measures 10.2214, 10.2214 and 6.4262 Å, with angles of 90.00, 90.00 and 90.00 degrees. The asymmetric unit holds Ac at (0.0000, 0.0000, 0.0000), Ac at (0.0985, 0.6949, 0.5000), Ge at (0.1036, 0.7066, 0.0000) and Cl at (0.0000, 0.0000, 0.5000).

As for the crystal system: tetragonal. As for the total magnetic moment: 0.00 μB/cell. The value obtained for the volume is 335.7 Å³/f.u.

---

## 2
Material: Ac5Ge4Cl
Method: DFT, GGA-PBE
State: relaxed

The space group is Immm (No. 71) and the conventional cell measures 4.6171, 6.4198 and 22.8289 Å, with angles of 90.00, 90.00 and 90.00 degrees. The asymmetric unit holds Ac at (0.0000, 0.0000, 0.0000), Ac at (0.0000, 0.0000, 0.1999), Ac at (0.0000, 0.0000, 0.3944), Ge at (0.0000, 0.5000, 0.2002), Ge at (0.0000, 0.5000, 0.4057) and Cl at (0.0000, 0.5000, 0.0000).

As for the crystal system: orthorhombic. As for the total magnetic moment: 0.00 μB/cell. The value obtained for the volume is 338.3 Å³/f.u.

---

Of them, 2 has the lowest stability.

---

## 1
Material: AcNdGeCl
Method: DFT, GGA-PBE
State: relaxed

The space group is F-43m (No. 216) and the conventional cell measures 7.5327, 7.5327 and 7.5327 Å, with angles of 90.00, 90.00 and 90.00 degrees. The asymmetric unit holds Ac at (0.0000, 0.0000, 0.0000), Nd at (0.0000, 0.0000, 0.5000), Ge at (0.2500, 0.2500, 0.2500) and Cl at (0.2500, 0.2500, 0.7500).

As for the crystal system: cubic. As for the total magnetic moment: 0.00 μB/cell. The value obtained for the volume is 106.9 Å³/f.u.

---

## 2
Material: AcNdGeCl
Method: DFT, GGA-PBE
State: relaxed

The space group is Amm2 (No. 38) and the conventional cell measures 6.1550, 5.1153 and 8.9829 Å, with angles of 90.00, 90.00 and 90.00 degrees. The asymmetric unit holds Ac at (0.0000, 0.0000, 0.0000), Nd at (0.5000, 0.0000, 0.6697), Ge at (0.5000, 0.0000, 0.0010) and Cl at (0.0000, 0.0000, 0.6691).

As for the crystal system: orthorhombic. As for the total magnetic moment: 0.00 μB/cell. The value obtained for the volume is 141.4 Å³/f.u.

---

Of them, 2 has the lowest stability.

---

## 1
Material: AcPmGeCl
Method: DFT, GGA-PBE
State: relaxed

The space group is R-3m (No. 166, hexagonal axes) and the conventional cell measures 4.5015, 4.5015 and 47.2332 Å, with angles of 90.00, 90.00 and 120.00 degrees. The asymmetric unit holds Ac at (0.0000, 0.0000, 0.1305), Pm at (0.0000, 0.0000, 0.3036), Ge at (0.0000, 0.0000, 0.0000), Ge at (0.0000, 0.0000, 0.5000) and Cl at (0.0000, 0.0000, 0.2433).

As for the crystal system: trigonal. As for the total magnetic moment: 0.00 μB/cell. The value obtained for the volume is 138.1 Å³/f.u.

---

## 2
Material: AcPmGeCl
Method: DFT, GGA-PBE
State: relaxed

The space group is F-43m (No. 216) and the conventional cell measures 7.5099, 7.5099 and 7.5099 Å, with angles of 90.00, 90.00 and 90.00 degrees. The asymmetric unit holds Ac at (0.0000, 0.0000, 0.0000), Pm at (0.0000, 0.0000, 0.5000), Ge at (0.2500, 0.2500, 0.7500) and Cl at (0.2500, 0.2500, 0.2500).

As for the crystal system: cubic. As for the total magnetic moment: 0.00 μB/cell. The value obtained for the volume is 105.9 Å³/f.u.

---

Of them, 2 has the lowest stability.

---

## 1
Material: AcHCl
Method: DFT, GGA-PBE
State: relaxed

The space group is P3m1 (No. 156) and the conventional cell measures 4.4028, 4.4028 and 3.8554 Å, with angles of 90.00, 90.00 and 120.00 degrees. The asymmetric unit holds Ac at (0.0000, 0.0000, 0.0000), H at (0.3333, 0.6667, 0.9983) and Cl at (0.6667, 0.3333, 0.4993).

As for the crystal system: trigonal. As for the total magnetic moment: 0.00 μB/cell. The value obtained for the volume is 64.7 Å³/f.u.

---

## 2
Material: AcHCl
Method: DFT, GGA-PBE
State: relaxed

The space group is F-43m (No. 216) and the conventional cell measures 6.6912, 6.6912 and 6.6912 Å, with angles of 90.00, 90.00 and 90.00 degrees. The asymmetric unit holds Ac at (0.0000, 0.0000, 0.0000), H at (0.2500, 0.2500, 0.2500) and Cl at (0.2500, 0.2500, 0.7500).

As for the crystal system: cubic. As for the total magnetic moment: 1.52 μB/cell. The value obtained for the volume is 74.9 Å³/f.u.

---

## 3
Material: AcHCl
Method: DFT, GGA-PBE
State: relaxed

The space group is Pna2_1 (No. 33) and the conventional cell measures 6.0781, 14.5980 and 6.3807 Å, with angles of 90.00, 90.00 and 90.00 degrees. The asymmetric unit holds Ac at (0.0140, 0.1126, 0.0000), Ac at (0.0681, 0.3420, 0.4651), H at (0.1269, 0.7837, 0.7776), H at (0.1853, 0.9682, 0.7866), Cl at (0.0193, 0.3203, 0.9483) and Cl at (0.1856, 0.5035, 0.7535).

As for the crystal system: orthorhombic. As for the total magnetic moment: 0.00 μB/cell. The value obtained for the volume is 70.8 Å³/f.u.

---

## 4
Material: AcHCl
Method: DFT, GGA-PBE
State: relaxed

The space group is I4mm (No. 107) and the conventional cell measures 3.6778, 3.6778 and 9.9184 Å, with angles of 90.00, 90.00 and 90.00 degrees. The asymmetric unit holds Ac at (0.0000, 0.0000, 0.0000), H at (0.0000, 0.0000, 0.4227) and Cl at (0.0000, 0.0000, 0.6954).

As for the crystal system: tetragonal. As for the total magnetic moment: 0.00 μB/cell. The value obtained for the volume is 67.1 Å³/f.u.

---

Of them, 2 has the lowest stability.

---

## 1
Material: AcHCl
Method: DFT, GGA-PBE
State: relaxed

The space group is Cm (No. 8) and the conventional cell measures 6.9569, 4.3802 and 10.2467 Å, with angles of 90.00, 95.98 and 90.00 degrees. The asymmetric unit holds Ac at (0.0000, 0.0000, 0.0000), Ac at (0.0501, 0.5000, 0.3220), H at (0.1403, 0.5000, 0.0809), H at (0.1656, 0.0000, 0.2407), Cl at (0.3172, 0.0000, 0.8237) and Cl at (0.4214, 0.5000, 0.4985).

As for the crystal system: monoclinic. As for the total magnetic moment: 0.00 μB/cell. The value obtained for the volume is 77.6 Å³/f.u.

---

## 2
Material: AcHCl
Method: DFT, GGA-PBE
State: relaxed

The space group is I4/mmm (No. 139) and the conventional cell measures 4.5006, 4.5006 and 13.6454 Å, with angles of 90.00, 90.00 and 90.00 degrees. The asymmetric unit holds Ac at (0.0000, 0.0000, 0.1497), H at (0.0000, 0.5000, 0.2500) and Cl at (0.0000, 0.5000, 0.0000).

As for the crystal system: tetragonal. As for the total magnetic moment: 0.00 μB/cell. The value obtained for the volume is 69.1 Å³/f.u.

---

Of them, 2 has the lowest stability.